1.
VASP calculation (GGA-PBE) on a geometry-optimized Nd2YP structure.

Properties
* total energy: -5.974 eV/atom
* formation energy: -0.62 eV/atom

Cell: 9.860 9.860 9.860 Å, 22.99 22.99 22.99°
Fractional positions:
Nd 0.226 0.226 0.226
Nd 0.774 0.774 0.774
Y 0.000 0.000 0.000
P 0.500 0.500 0.500

---

2.
VASP calculation (GGA-PBE) on a geometry-optimized Nd2YP3 structure.

Properties
* total energy: -6.932 eV/atom
* formation energy: -1.56 eV/atom

Cell: 7.133 7.133 7.133 Å, 99.59 99.59 120.00°
Fractional positions:
Nd 0.000 0.000 0.000
Nd 0.166 0.834 0.500
Nd 0.500 0.500 0.500
Nd 0.834 0.166 0.500
Y 0.333 0.667 0.000
Y 0.667 0.333 0.000
P 0.082 0.419 0.244
P 0.257 0.257 0.757
P 0.419 0.082 0.244
P 0.581 0.918 0.756
P 0.743 0.743 0.243
P 0.918 0.581 0.756

---

3.
VASP calculation (GGA-PBE) on a geometry-optimized Nd3YP4 structure.

Properties
* total energy: -6.855 eV/atom
* energy above the lowest structure with this stoichiometry: 0 kJ/mol of formula units
* formation energy: -1.55 eV/atom

Cell: 7.152 7.152 4.133 Å, 90.00 90.00 109.46°
Fractional positions:
Nd 0.000 0.000 0.000
Nd 0.000 0.500 0.500
Nd 0.500 0.000 0.500
Y 0.500 0.500 0.000
P 0.253 0.747 0.000
P 0.256 0.256 0.500
P 0.744 0.744 0.500
P 0.747 0.253 0.000

---

4.
VASP calculation (GGA-PBE) on a geometry-optimized NdY3P structure.

Properties
* total energy: -6.360 eV/atom
* formation energy: -0.45 eV/atom

Cell: 5.416 5.416 5.416 Å, 90.00 90.00 90.00°
Fractional positions:
Nd 0.000 0.000 0.000
Y 0.000 0.500 0.500
Y 0.500 0.000 0.500
Y 0.500 0.500 0.000
P 0.500 0.500 0.500

---

5.
VASP calculation (GGA-PBE) on a geometry-optimized NdYP2 structure.

Properties
* total energy: -7.091 eV/atom
* energy above the lowest structure with this stoichiometry: 0 kJ/mol of formula units
* formation energy: -1.58 eV/atom

Cell: 7.080 7.080 7.080 Å, 33.62 33.62 33.62°
Fractional positions:
Nd 0.000 0.000 0.000
Y 0.500 0.500 0.500
P 0.247 0.247 0.247
P 0.753 0.753 0.753

---

6.
VASP calculation (GGA-PBE) on a geometry-optimized NdYP structure.

Properties
* total energy: -6.503 eV/atom
* formation energy: -0.96 eV/atom

Cell: 3.984 3.984 6.550 Å, 90.00 90.00 120.00°
Fractional positions:
Nd 0.000 0.000 0.000
Y 0.333 0.667 0.491
P 0.667 0.333 0.257

---

7.
VASP calculation (GGA-PBE) on a geometry-optimized NdY2P structure.

Properties
* total energy: -6.338 eV/atom
* formation energy: -0.56 eV/atom

Cell: 10.474 10.474 10.474 Å, 20.76 20.76 20.76°
Fractional positions:
Nd 0.000 0.000 0.000
Y 0.114 0.114 0.114
Y 0.886 0.886 0.886
P 0.500 0.500 0.500

---

8.
VASP calculation (GGA-PBE) on a geometry-optimized Nd3YP4 structure.

Properties
* total energy: -6.851 eV/atom
* energy above the lowest structure with this stoichiometry: 3 kJ/mol of formula units
* formation energy: -1.55 eV/atom

Cell: 5.842 5.842 5.842 Å, 90.00 90.00 90.00°
Fractional positions:
Nd 0.000 0.000 0.500
Nd 0.000 0.500 0.000
Nd 0.500 0.000 0.000
Y 0.500 0.500 0.500
P 0.000 0.000 0.000
P 0.000 0.500 0.500
P 0.500 0.000 0.500
P 0.500 0.500 0.000

---

9.
VASP calculation (GGA-PBE) on a geometry-optimized NdYP structure.

Properties
* total energy: -6.534 eV/atom
* formation energy: -0.99 eV/atom

Cell: 3.969 5.571 7.999 Å, 90.00 90.00 90.00°
Fractional positions:
Nd 0.250 0.250 0.123
Nd 0.750 0.750 0.877
Y 0.250 0.250 0.618
Y 0.750 0.750 0.382
P 0.250 0.750 0.624
P 0.750 0.250 0.376

---

10.
VASP calculation (GGA-PBE) on a geometry-optimized NdYP2 structure.

Properties
* total energy: -6.912 eV/atom
* energy above the lowest structure with this stoichiometry: 69 kJ/mol of formula units
* formation energy: -1.40 eV/atom

Cell: 7.340 7.340 7.340 Å, 32.06 32.06 32.06°
Fractional positions:
Nd 0.000 0.000 0.000
Y 0.828 0.828 0.828
P 0.416 0.416 0.416
P 0.578 0.578 0.578

---

11.
VASP calculation (GGA-PBE) on a geometry-optimized NdY4P5 structure.

Properties
* total energy: -7.371 eV/atom
* formation energy: -1.60 eV/atom

Cell: 10.701 10.701 10.701 Å, 158.20 148.97 38.24°
Fractional positions:
Nd 0.000 0.000 0.000
Y 0.201 0.201 0.000
Y 0.399 0.399 0.000
Y 0.601 0.601 0.000
Y 0.799 0.799 0.000
P 0.103 0.603 0.500
P 0.300 0.800 0.500
P 0.500 0.000 0.500
P 0.700 0.200 0.500
P 0.897 0.397 0.500

---

12.
VASP calculation (GGA-PBE) on a geometry-optimized Nd4YP5 structure.

Properties
* total energy: -6.809 eV/atom
* formation energy: -1.55 eV/atom

Cell: 7.168 7.168 7.168 Å, 99.60 99.60 131.78°
Fractional positions:
Nd 0.099 0.700 0.799
Nd 0.300 0.099 0.399
Nd 0.700 0.901 0.601
Nd 0.901 0.300 0.201
Y 0.500 0.500 0.000
P 0.000 0.000 0.000
P 0.204 0.401 0.606
P 0.401 0.796 0.197
P 0.599 0.204 0.803
P 0.796 0.599 0.394

---

no.,magnetization (μB per formula unit)
1,0.96
2,0.00
3,0.00
4,1.47
5,0.00
6,0.07
7,0.90
8,0.00
9,0.00
10,0.00
11,0.00
12,0.00